Computed, not measured: a relaxed structure of AcLa5Y2 at the GGA-PBE level of DFT.

Calculated values
DOS at the Fermi energy in states/eV/cell: 27.4
Mass density in Mg/m³: 6.18
Relative energy among the computed polymorphs in meV/atom: 122
Energy of formation from the pure elements in eV per atom: 0.134

Unit cell a=9.616 b=9.616 c=9.616 alpha=123.61 beta=123.61 gamma=83.86
Sites, in units of the cell vectors:
Ac  0.250  0.250  0.000
Ac  0.750  0.750  0.000
La  0.000  0.000  0.000
La  0.016  0.516  0.205
La  0.188  0.984  0.500
La  0.312  0.812  0.795
La  0.484  0.688  0.500
La  0.500  0.500  0.000
La  0.516  0.312  0.500
La  0.688  0.188  0.205
La  0.812  0.016  0.500
La  0.984  0.484  0.795
Y  0.145  0.355  0.500
Y  0.355  0.855  0.209
Y  0.645  0.145  0.791
Y  0.855  0.645  0.500